First-principles (PBE-GGA) data for a geometry-optimized Sc2MnIn structure, as listed in the Alexandria database.

Unit cell a=5.3312 b=5.3312 c=5.3312 alpha=132.53 beta=132.53 gamma=69.39
Closest atoms and distances in Å follow each position.
Atoms (fractional coordinates):
1 In 0.5000 0.5000 0.0000  8 Sc 3.03-3.07, 4 Mn 3.07
2 Mn 0.7500 0.2500 0.5000  8 Sc 3.03-3.07, 4 In 3.07
3 Sc 0.0000 0.0000 0.0000  4 In 3.03, 4 Sc 3.07, 4 Mn 3.07
4 Sc 0.2500 0.7500 0.5000  4 Mn 3.03, 4 Sc 3.07, 4 In 3.07

Calculated values
The calculation puts the total moment at 1.8 Bohr magnetons per cell. As for the space group: I-4m2, No. 119.

=====

First-principles (PBE-GGA) data for a geometry-optimized ScMnIn structure, as listed in the Alexandria database.

Unit cell a=4.5834 b=4.5834 c=4.5834 alpha=60.00 beta=60.00 gamma=60.00
Closest atoms and distances in Å follow each position.
Atoms (fractional coordinates):
1 In 0.5000 0.5000 0.5000  4 Mn 2.81
2 Mn 0.7500 0.7500 0.7500  4 In 2.81, 4 Sc 2.81
3 Sc 0.0000 0.0000 0.0000  4 Mn 2.81

Calculated values
The calculation puts the total moment at 4.3 Bohr magnetons per cell. As for the space group: F-43m, No. 216.

=====

First-principles (PBE-GGA) data for a geometry-optimized ScMn2In structure, as listed in the Alexandria database.

Unit cell a=3.8830 b=4.1944 c=4.1944 alpha=90.00 beta=90.00 gamma=90.00
Closest atoms and distances in Å follow each position.
Atoms (fractional coordinates):
1 In 0.5000 0.0000 0.5000  8 Mn 2.86, 4 Sc 2.97
2 Mn 0.0000 0.0000 0.0000  4 In 2.86, 4 Sc 2.86, 4 Mn 2.97
3 Mn 0.0000 0.5000 0.5000  4 In 2.86, 4 Sc 2.86, 4 Mn 2.97
4 Sc 0.5000 0.5000 0.0000  8 Mn 2.86, 4 In 2.97

Calculated values
The calculation puts the total moment at 5.1 Bohr magnetons per cell. As for the space group: P4/mmm, No. 123.

=====

| no. | energy (eV per atom) |
| --- | --- |
| 1 | -6.242 |
| 2 | -5.872 |
| 3 | -6.786 |